# 1
Here is crystalline BaLiNiAs at its relaxed geometry from OQMD. Energies are from PBE.

a b c (Å): 4.950 4.950 4.950
angles (deg): 60.00 60.00 60.00
Positions (direct):
1 Ba 0.000 0.000 0.000
2 Li 0.250 0.250 0.250
3 Ni 0.500 0.500 0.500
4 As 0.750 0.750 0.750

## Properties
crystal system	cubic
energy above the lowest structure with this stoichiometry	143.1	meV/atom


# 2
Here is crystalline FePdAu at its relaxed geometry from OQMD. Energies are from PBE.

a b c (Å): 4.202 4.202 4.202
angles (deg): 60.00 60.00 60.00
Positions (direct):
1 Fe 0.000 0.000 0.000
2 Pd 0.750 0.750 0.750
3 Au 0.250 0.250 0.250

## Properties
crystal system	cubic
energy above the lowest structure with this stoichiometry	0.0	meV/atom
energy of formation	21.7	kJ per mole of atoms


# 3
Here is crystalline Ho3Mg3ZnPt2 at its relaxed geometry from OQMD. Energies are from PBE.

a b c (Å): 7.447 7.447 4.029
angles (deg): 90.00 90.00 120.00
Positions (direct):
1 Ho 0.000 0.582 0.000
2 Ho 0.418 0.418 0.000
3 Ho 0.582 0.000 0.000
4 Mg 0.000 0.250 0.500
5 Mg 0.250 0.000 0.500
6 Mg 0.750 0.750 0.500
7 Zn 0.000 0.000 0.000
8 Pt 0.333 0.667 0.500
9 Pt 0.667 0.333 0.500

## Properties
uncorrected energy	-4.2568	eV/atom
crystal system	hexagonal


# 4
Here is crystalline MgSbPt at its relaxed geometry from OQMD. Energies are from PBE.

a b c (Å): 4.387 4.387 7.579
angles (deg): 90.00 90.00 120.00
Positions (direct):
1 Mg 0.000 0.000 0.000
2 Mg 0.000 0.000 0.500
3 Sb 0.333 0.667 0.238
4 Sb 0.667 0.333 0.738
5 Pt 0.333 0.667 0.881
6 Pt 0.667 0.333 0.381

## Properties
uncorrected energy	-4.4804	eV/atom
crystal system	hexagonal


# 5
Here is crystalline BaHoB at its relaxed geometry from OQMD. Energies are from PBE.

a b c (Å): 4.825 4.825 4.825
angles (deg): 60.00 60.00 60.00
Positions (direct):
1 Ba 0.000 0.000 0.000
2 Ho 0.250 0.250 0.250
3 B 0.750 0.750 0.750

## Properties
crystal system	cubic
energy above the lowest structure with this stoichiometry	843.0	meV/atom


# 6
Here is crystalline Ho3Mg3InPt2 at its relaxed geometry from OQMD. Energies are from PBE.

a b c (Å): 7.421 7.421 4.230
angles (deg): 90.00 90.00 120.00
Positions (direct):
1 Ho 0.000 0.573 0.000
2 Ho 0.427 0.427 0.000
3 Ho 0.573 0.000 0.000
4 Mg 0.000 0.259 0.500
5 Mg 0.259 0.000 0.500
6 Mg 0.741 0.741 0.500
7 In 0.000 0.000 0.000
8 Pt 0.333 0.667 0.500
9 Pt 0.667 0.333 0.500

## Properties
uncorrected energy	-4.3946	eV/atom
crystal system	hexagonal


# 7
Here is crystalline NaAsOsO at its relaxed geometry from OQMD. Energies are from PBE.

a b c (Å): 3.839 3.839 9.132
angles (deg): 90.00 90.00 90.00
Positions (direct):
1 Na 0.250 0.250 0.128
2 Na 0.750 0.750 0.872
3 As 0.250 0.250 0.677
4 As 0.750 0.750 0.323
5 Os 0.250 0.750 0.500
6 Os 0.750 0.250 0.500
7 O 0.250 0.750 0.000
8 O 0.750 0.250 0.000

## Properties
crystal system	tetragonal
energy above the lowest structure with this stoichiometry	427.3	meV/atom


# 8
Here is crystalline Fe3N at its relaxed geometry from OQMD. Energies are from PBE.

a b c (Å): 3.842 3.842 3.842
angles (deg): 60.00 60.00 60.00
Positions (direct):
1 Fe 0.000 0.000 0.000
2 Fe 0.250 0.250 0.250
3 Fe 0.750 0.750 0.750
4 N 0.500 0.500 0.500

## Properties
uncorrected energy	-7.3627	eV/atom
crystal system	cubic


# 9
Here is crystalline SrSmAs2 at its relaxed geometry from OQMD. Energies are from PBE.

a b c (Å): 4.460 4.460 6.692
angles (deg): 90.00 90.00 120.00
Positions (direct):
1 Sr 0.000 0.000 0.000
2 Sm 0.333 0.667 0.500
3 As 0.667 0.333 0.269
4 As 0.667 0.333 0.731

## Properties
uncorrected energy	-5.1422	eV/atom
crystal system	hexagonal


# 10
Here is crystalline Sm3Ho2Sb3 at its relaxed geometry from OQMD. Energies are from PBE.

a b c (Å): 9.079 9.079 6.380
angles (deg): 90.00 90.00 120.00
Positions (direct):
1 Sm 0.000 0.248 0.250
2 Sm 0.000 0.752 0.750
3 Sm 0.248 0.000 0.250
4 Sm 0.248 0.248 0.750
5 Sm 0.752 0.000 0.750
6 Sm 0.752 0.752 0.250
7 Ho 0.333 0.667 0.000
8 Ho 0.333 0.667 0.500
9 Ho 0.667 0.333 0.000
10 Ho 0.667 0.333 0.500
11 Sb 0.000 0.392 0.750
12 Sb 0.000 0.608 0.250
13 Sb 0.392 0.000 0.750
14 Sb 0.392 0.392 0.250
15 Sb 0.608 0.000 0.250
16 Sb 0.608 0.608 0.750

## Properties
uncorrected energy	-5.4050	eV/atom
crystal system	hexagonal


# 11
Here is crystalline SrScNb at its relaxed geometry from OQMD. Energies are from PBE.

a b c (Å): 5.091 5.091 5.091
angles (deg): 60.00 60.00 60.00
Positions (direct):
1 Sr 0.000 0.000 0.000
2 Sc 0.250 0.250 0.250
3 Nb 0.750 0.750 0.750

## Properties
crystal system	cubic
energy above the lowest structure with this stoichiometry	548.8	meV/atom


# 12
Here is crystalline Sc3Cu3SiGe2 at its relaxed geometry from OQMD. Energies are from PBE.

a b c (Å): 6.520 6.520 3.941
angles (deg): 90.00 90.00 120.00
Positions (direct):
1 Sc 0.000 0.575 0.000
2 Sc 0.425 0.425 0.000
3 Sc 0.575 0.000 0.000
4 Cu 0.000 0.237 0.500
5 Cu 0.237 0.000 0.500
6 Cu 0.763 0.763 0.500
7 Si 0.000 0.000 0.000
8 Ge 0.333 0.667 0.500
9 Ge 0.667 0.333 0.500

## Properties
uncorrected energy	-5.6464	eV/atom
crystal system	hexagonal


Number 1: total magnetic moment 0.0 μB per formula unit. Number 2: total magnetic moment 3.5 μB per formula unit. Number 3: total magnetic moment 0.0 μB per formula unit. Number 4: total magnetic moment 0.0 μB per formula unit. Number 5: total magnetic moment 0.0 μB per formula unit. Number 6: total magnetic moment 0.0 μB per formula unit. Number 7: total magnetic moment 0.0 μB per formula unit. Number 8: total magnetic moment 6.1 μB per formula unit. Number 9: total magnetic moment 0.0 μB per formula unit. Number 10: total magnetic moment 0.3 μB per formula unit. Number 11: total magnetic moment 2.2 μB per formula unit. Number 12: total magnetic moment 0.0 μB per formula unit.